1.
Here is crystalline Zn7CdPd2 at its relaxed geometry from the Alexandria database. Energies are from PBE-GGA.

## Properties
DOS at the Fermi energy, states/eV/cell: 3.08
ΔH_f (0 K), meV/atom: -36
Calculated volume, Å³ per atom: 19.61

```
Zn7CdPd2
1.0
-0.662 -1.145 -4.300
1.071 -6.841 1.657
-6.533 2.819 0.254
Zn Cd Pd
7 1 2
Cartesian
-1.788 -3.209 1.130 Zn
-3.674 -0.812 0.782 Zn
-2.197 -0.232 -1.954 Zn
-3.927 -4.934 -0.435 Zn
-0.488 -2.403 -1.638 Zn
-5.635 -2.764 -0.750 Zn
-3.062 -2.583 -1.194 Zn
0.000 0.000 0.000 Cd
-1.447 -4.635 -0.896 Pd
-4.677 -0.532 -1.492 Pd
```


2.
Here is crystalline Zn3CdPd6 at its relaxed geometry from the Alexandria database. Energies are from PBE-GGA.

## Properties
DOS at the Fermi energy, states/eV/cell: 5.63
ΔH_f (0 K), meV/atom: -469
Calculated volume, Å³ per atom: 15.24

```
Zn3CdPd6
1.0
-2.875 2.994 -0.139
-2.561 -2.797 -7.286
-5.463 -5.009 5.120
Zn Cd Pd
6 2 12
Cartesian
-4.286 -2.769 -2.012 Zn
-6.613 -2.043 -0.292 Zn
-6.055 -4.301 1.577 Zn
-4.844 -0.511 -3.882 Zn
-7.986 -6.253 -0.531 Zn
-2.913 1.441 -1.773 Zn
-6.440 -4.921 -3.821 Cd
-4.459 0.109 1.516 Cd
-2.460 -1.056 -2.898 Pd
-8.439 -3.755 0.594 Pd
-2.252 -0.727 -0.108 Pd
-8.647 -4.084 -2.196 Pd
-6.096 -4.462 -1.047 Pd
-4.803 -0.349 -1.258 Pd
-4.234 -2.597 0.623 Pd
-6.665 -2.215 -2.928 Pd
-4.369 -2.969 -4.632 Pd
-6.530 -1.842 2.328 Pd
-5.843 -3.978 4.161 Pd
-5.056 -0.834 -6.465 Pd
```


3.
Here is crystalline ZnCd8Pd2 at its relaxed geometry from the Alexandria database. Energies are from PBE-GGA.

## Properties
DOS at the Fermi energy, states/eV/cell: 2.97
ΔH_f (0 K), meV/atom: -150
Calculated volume, Å³ per atom: 19.94

```
ZnCd8Pd2
1.0
4.585 0.000 0.000
0.000 6.969 -0.241
-2.293 -3.245 6.977
Zn Cd Pd
1 8 2
Cartesian
2.293 0.000 0.000 Zn
0.000 1.734 4.774 Cd
2.293 5.126 1.864 Cd
2.293 3.636 4.428 Cd
2.293 -1.211 6.901 Cd
0.000 0.087 2.307 Cd
0.000 -1.403 4.871 Cd
2.293 1.990 1.961 Cd
0.000 4.934 -0.166 Cd
2.293 0.154 4.287 Pd
0.000 3.570 2.448 Pd
```


Q: calculated volume of number 3 (ZnCd8Pd2)?
A: 19.94 Å³ per atom


Q: What is the calculated volume in the second record?
A: 15.24 Å³ per atom